Entry 1:
Material: Sm3TeC
Method: DFT, PBE
State: relaxed

a = 5.0201 Å, b = 5.0201 Å, c = 5.0201 Å
α = 90.00°, β = 90.00°, γ = 90.00°
Last column: nearest neighbours and their distance in Å.
Atoms (fractional coordinates):
Sm 0.0000 0.0000 0.5000  2 C 2.51
Sm 0.0000 0.5000 0.0000  2 C 2.51
Sm 0.5000 0.0000 0.0000  2 C 2.51
Te 0.5000 0.5000 0.5000  12 Sm 3.55
C 0.0000 0.0000 0.0000  6 Sm 2.51

Its energy relative to the elements, uncorrected is -0.484 eV/atom.

Entry 2:
Material: YScPt
Method: DFT, PBE
State: relaxed

a = 6.6090 Å, b = 6.6090 Å, c = 6.6090 Å
α = 90.00°, β = 90.00°, γ = 90.00°
Last column: nearest neighbours and their distance in Å.
Atoms (fractional coordinates):
Y 0.0000 0.0000 0.0000  4 Pt 2.86, 4 Sc 2.86
Y 0.0000 0.5000 0.5000  4 Pt 2.86, 4 Sc 2.86
Y 0.5000 0.0000 0.5000  4 Pt 2.86, 4 Sc 2.86
Y 0.5000 0.5000 0.0000  4 Pt 2.86, 4 Sc 2.86
Sc 0.2500 0.2500 0.2500  4 Y 2.86
Sc 0.2500 0.7500 0.7500  4 Y 2.86
Sc 0.7500 0.2500 0.7500  4 Y 2.86
Sc 0.7500 0.7500 0.2500  4 Y 2.86
Pt 0.2500 0.2500 0.7500  4 Y 2.86
Pt 0.2500 0.7500 0.2500  4 Y 2.86
Pt 0.7500 0.2500 0.2500  4 Y 2.86
Pt 0.7500 0.7500 0.7500  4 Y 2.86

Number 1: polymorph energy (0 for the lowest one) 0.33 eV per formula unit, total magnetization 0.00 μB/cell. Number 2: polymorph energy (0 for the lowest one) 2.81 eV per formula unit, total magnetization 0.00 μB/cell.